Material: TlOs2Br8
Method: DFT, PBE
State: relaxed

a b c (Å): 5.2404 10.0930 9.6468
angles (deg): 130.14 74.17 105.28
Closest atoms and distances in Å follow each position.
Positions (direct):
Br  0.2084  0.8675  0.4488  3 Os 2.58-2.66
Br  0.8056  0.7192  0.1059  1 Os 2.43
Br  0.3996  0.4943  0.7022  1 Os 2.42
Br  0.7915  0.1325  0.5512  3 Os 2.58-2.66
Br  0.4161  0.0949  0.2644  1 Os 2.51
Br  0.5839  0.9050  0.7355  1 Os 2.51
Br  0.1944  0.2808  0.8941  1 Os 2.43
Br  0.6004  0.5057  0.2978  1 Os 2.42
Tl  0.0000  0.0001  0.0000  6 Br 3.30-3.43
Os  0.3050  0.1926  0.5852  6 Br 2.42-2.66
Os  0.6951  0.8075  0.4147  6 Br 2.42-2.66

Results
* symmetry: P-1


Material: TlOs4Br
Method: DFT, PBE
State: relaxed

a b c (Å): 5.3574 5.3574 5.3574
angles (deg): 60.00 60.00 60.00
Closest atoms and distances in Å follow each position.
Positions (direct):
Os  0.3748  0.3748  0.8755  6 Os 2.67-2.68
Os  0.3748  0.3748  0.3748  6 Os 2.67-2.68
Os  0.3748  0.8755  0.3748  6 Os 2.67-2.68
Os  0.8755  0.3748  0.3748  6 Os 2.67-2.68
Tl  0.7500  0.7500  0.7500  12 Os 3.14, 4 Br 3.28
Br  0.0000  0.0000  0.0000  12 Os 3.14, 4 Tl 3.28

Results
* symmetry: F-43m


Material: Tl2Os2Br
Method: DFT, PBE
State: relaxed

a b c (Å): 3.5419 3.5419 10.4346
angles (deg): 80.23 80.23 90.00
Closest atoms and distances in Å follow each position.
Positions (direct):
Os  0.7500  0.2500  0.5000  4 Os 2.50
Os  0.2500  0.7500  0.5000  4 Os 2.50
Br  0.0000  0.0000  0.0000  8 Tl 3.35, 4 Br 3.54
Tl  0.3900  0.3900  0.2200  4 Os 3.34, 4 Br 3.35, 4 Tl 3.54
Tl  0.6100  0.6100  0.7800  4 Os 3.34, 4 Br 3.35, 4 Tl 3.54

Results
* relative energy among the computed polymorphs: 0.0000 eV per atom
* symmetry: I4/mmm


In order of appearance, energy = -3.543; -6.665; -5.192 eV/atom.
In order of appearance, E_form (uncorrected) = -0.07; 1.49; 0.58 eV per atom.